w) VASP calculation (PBE) on a relaxed ZrAl2Re crystal.

Values from the calculation:
Space group: No. 35

The structure in CIF format:
```
data_ZrAl2Re
_chemical_formula_sum 'Zr1 Al2 Re1'
_cell_length_a 2.8657
_cell_length_b 2.8657
_cell_length_c 8.8143
_cell_angle_alpha 90.00
_cell_angle_beta 90.00
_cell_angle_gamma 108.52
_space_group_name_H-M_alt 'P 1'
_space_group_IT_number 1
_space_group_name_Hall 'P 1'
loop_
_atom_site_label
_atom_site_fract_x
_atom_site_fract_y
_atom_site_fract_z
_atom_site_occupancy
Zr1 0.0000 0.0000 0.0000 1
Al1 0.0000 0.0000 0.5202 1
Al2 0.5000 0.5000 0.2707 1
Re1 0.5000 0.5000 0.7435 1
```

---

x) VASP calculation (PBE) on a relaxed ZrAl2Re crystal.

Values from the calculation:
Space group: No. 71

The structure in CIF format:
```
data_ZrAl2Re
_chemical_formula_sum 'Zr1 Al2 Re1'
_cell_length_a 5.2598
_cell_length_b 5.2598
_cell_length_c 5.2598
_cell_angle_alpha 142.97
_cell_angle_beta 128.46
_cell_angle_gamma 65.14
_space_group_name_H-M_alt 'P 1'
_space_group_IT_number 1
_space_group_name_Hall 'P 1'
loop_
_atom_site_label
_atom_site_fract_x
_atom_site_fract_y
_atom_site_fract_z
_atom_site_occupancy
Zr1 0.0000 0.0000 0.0000 1
Al1 0.2657 0.7657 0.5000 1
Al2 0.7343 0.2343 0.5000 1
Re1 0.5000 0.5000 0.0000 1
```

---

y) VASP calculation (PBE) on a relaxed ZrAl2Re crystal.

Values from the calculation:
Space group: No. 47

The structure in CIF format:
```
data_ZrAl2Re
_chemical_formula_sum 'Zr1 Al2 Re1'
_cell_length_a 2.7827
_cell_length_b 4.0875
_cell_length_c 5.8743
_cell_angle_alpha 90.00
_cell_angle_beta 90.00
_cell_angle_gamma 90.00
_space_group_name_H-M_alt 'P 1'
_space_group_IT_number 1
_space_group_name_Hall 'P 1'
loop_
_atom_site_label
_atom_site_fract_x
_atom_site_fract_y
_atom_site_fract_z
_atom_site_occupancy
Zr1 0.0000 0.0000 0.0000 1
Al1 0.5000 0.5000 0.2803 1
Al2 0.5000 0.5000 0.7197 1
Re1 0.0000 0.0000 0.5000 1
```

---

z) VASP calculation (PBE) on a relaxed ZrAl2Re crystal.

Values from the calculation:
Space group: No. 65

The structure in CIF format:
```
data_ZrAl2Re
_chemical_formula_sum 'Zr1 Al2 Re1'
_cell_length_a 5.1060
_cell_length_b 5.1060
_cell_length_c 2.8005
_cell_angle_alpha 90.00
_cell_angle_beta 90.00
_cell_angle_gamma 113.54
_space_group_name_H-M_alt 'P 1'
_space_group_IT_number 1
_space_group_name_Hall 'P 1'
loop_
_atom_site_label
_atom_site_fract_x
_atom_site_fract_y
_atom_site_fract_z
_atom_site_occupancy
Zr1 0.0000 0.0000 0.0000 1
Al1 0.0000 0.5000 0.5000 1
Al2 0.5000 0.0000 0.5000 1
Re1 0.5000 0.5000 0.0000 1
```

---

Stability summary: most stable x), least stable w).

---

w) VASP calculation (PBE) on a relaxed ZrAl2Re crystal.

Values from the calculation:
Space group: No. 44

The structure in CIF format:
```
data_ZrAl2Re
_chemical_formula_sum 'Zr1 Al2 Re1'
_cell_length_a 5.1459
_cell_length_b 5.1459
_cell_length_c 5.1459
_cell_angle_alpha 139.38
_cell_angle_beta 129.71
_cell_angle_gamma 66.55
_space_group_name_H-M_alt 'P 1'
_space_group_IT_number 1
_space_group_name_Hall 'P 1'
loop_
_atom_site_label
_atom_site_fract_x
_atom_site_fract_y
_atom_site_fract_z
_atom_site_occupancy
Zr1 0.0000 0.0000 0.0000 1
Al1 0.2600 0.7600 0.5000 1
Al2 0.5103 0.5103 0.0000 1
Re1 0.7523 0.2523 0.5000 1
```

---

x) VASP calculation (PBE) on a relaxed ZrAl2Re crystal.

Values from the calculation:
Space group: No. 123

The structure in CIF format:
```
data_ZrAl2Re
_chemical_formula_sum 'Zr1 Al2 Re1'
_cell_length_a 3.1176
_cell_length_b 3.1176
_cell_length_c 6.9383
_cell_angle_alpha 90.00
_cell_angle_beta 90.00
_cell_angle_gamma 90.00
_space_group_name_H-M_alt 'P 1'
_space_group_IT_number 1
_space_group_name_Hall 'P 1'
loop_
_atom_site_label
_atom_site_fract_x
_atom_site_fract_y
_atom_site_fract_z
_atom_site_occupancy
Zr1 0.0000 0.0000 0.0000 1
Al1 0.5000 0.5000 0.2958 1
Al2 0.5000 0.5000 0.7042 1
Re1 0.0000 0.0000 0.5000 1
```

---

Stability summary: most stable x), least stable w).

---

w) VASP calculation (PBE) on a relaxed ZrAl2Re crystal.

Values from the calculation:
Space group: No. 99

The structure in CIF format:
```
data_ZrAl2Re
_chemical_formula_sum 'Zr1 Al2 Re1'
_cell_length_a 3.3469
_cell_length_b 3.3469
_cell_length_c 6.1134
_cell_angle_alpha 90.00
_cell_angle_beta 90.00
_cell_angle_gamma 90.00
_space_group_name_H-M_alt 'P 1'
_space_group_IT_number 1
_space_group_name_Hall 'P 1'
loop_
_atom_site_label
_atom_site_fract_x
_atom_site_fract_y
_atom_site_fract_z
_atom_site_occupancy
Zr1 0.0000 0.0000 0.0000 1
Al1 0.0000 0.0000 0.5348 1
Al2 0.5000 0.5000 0.3037 1
Re1 0.5000 0.5000 0.7524 1
```

---

x) VASP calculation (PBE) on a relaxed ZrAl2Re crystal.

Values from the calculation:
Space group: No. 139

The structure in CIF format:
```
data_ZrAl2Re
_chemical_formula_sum 'Zr1 Al2 Re1'
_cell_length_a 4.7860
_cell_length_b 4.7860
_cell_length_c 4.7860
_cell_angle_alpha 127.96
_cell_angle_beta 127.96
_cell_angle_gamma 76.68
_space_group_name_H-M_alt 'P 1'
_space_group_IT_number 1
_space_group_name_Hall 'P 1'
loop_
_atom_site_label
_atom_site_fract_x
_atom_site_fract_y
_atom_site_fract_z
_atom_site_occupancy
Zr1 0.0000 0.0000 0.0000 1
Al1 0.2500 0.7500 0.5000 1
Al2 0.7500 0.2500 0.5000 1
Re1 0.5000 0.5000 0.0000 1
```

---

Stability summary: most stable w), least stable x).

---

w) VASP calculation (PBE) on a relaxed ZrAl2Re crystal.

Values from the calculation:
Space group: No. 166

The structure in CIF format:
```
data_ZrAl2Re
_chemical_formula_sum 'Zr1 Al2 Re1'
_cell_length_a 9.4044
_cell_length_b 9.4044
_cell_length_c 9.4044
_cell_angle_alpha 17.92
_cell_angle_beta 17.92
_cell_angle_gamma 17.92
_space_group_name_H-M_alt 'P 1'
_space_group_IT_number 1
_space_group_name_Hall 'P 1'
loop_
_atom_site_label
_atom_site_fract_x
_atom_site_fract_y
_atom_site_fract_z
_atom_site_occupancy
Zr1 0.0000 0.0000 0.0000 1
Al1 0.2411 0.2411 0.2411 1
Al2 0.7589 0.7589 0.7589 1
Re1 0.5000 0.5000 0.5000 1
```

---

x) VASP calculation (PBE) on a relaxed ZrAl2Re crystal.

Values from the calculation:
Space group: No. 119

The structure in CIF format:
```
data_ZrAl2Re
_chemical_formula_sum 'Zr1 Al2 Re1'
_cell_length_a 4.8172
_cell_length_b 4.8172
_cell_length_c 4.8172
_cell_angle_alpha 128.28
_cell_angle_beta 128.28
_cell_angle_gamma 76.17
_space_group_name_H-M_alt 'P 1'
_space_group_IT_number 1
_space_group_name_Hall 'P 1'
loop_
_atom_site_label
_atom_site_fract_x
_atom_site_fract_y
_atom_site_fract_z
_atom_site_occupancy
Zr1 0.0000 0.0000 0.0000 1
Al1 0.2500 0.7500 0.5000 1
Al2 0.5000 0.5000 0.0000 1
Re1 0.7500 0.2500 0.5000 1
```

---

y) VASP calculation (PBE) on a relaxed ZrAl2Re crystal.

Values from the calculation:
Space group: No. 8

The structure in CIF format:
```
data_ZrAl2Re
_chemical_formula_sum 'Zr1 Al2 Re1'
_cell_length_a 4.9916
_cell_length_b 4.9916
_cell_length_c 5.0369
_cell_angle_alpha 99.09
_cell_angle_beta 99.09
_cell_angle_gamma 32.83
_space_group_name_H-M_alt 'P 1'
_space_group_IT_number 1
_space_group_name_Hall 'P 1'
loop_
_atom_site_label
_atom_site_fract_x
_atom_site_fract_y
_atom_site_fract_z
_atom_site_occupancy
Zr1 0.0000 0.0000 0.0000 1
Al1 0.2433 0.2433 0.7394 1
Al2 0.4992 0.4992 0.5008 1
Re1 0.7629 0.7629 0.2724 1
```

---

z) VASP calculation (PBE) on a relaxed ZrAl2Re crystal.

Values from the calculation:
Space group: No. 12

The structure in CIF format:
```
data_ZrAl2Re
_chemical_formula_sum 'Zr1 Al2 Re1'
_cell_length_a 5.2095
_cell_length_b 5.2095
_cell_length_c 2.7856
_cell_angle_alpha 97.18
_cell_angle_beta 97.18
_cell_angle_gamma 114.98
_space_group_name_H-M_alt 'P 1'
_space_group_IT_number 1
_space_group_name_Hall 'P 1'
loop_
_atom_site_label
_atom_site_fract_x
_atom_site_fract_y
_atom_site_fract_z
_atom_site_occupancy
Zr1 0.0000 0.0000 0.0000 1
Al1 0.0000 0.5000 0.5000 1
Al2 0.5000 0.0000 0.5000 1
Re1 0.5000 0.5000 0.0000 1
```

---

Stability summary: most stable x), least stable w).

---

w) VASP calculation (PBE) on a relaxed ZrAl2Re crystal.

Values from the calculation:
Space group: No. 225

The structure in CIF format:
```
data_ZrAl2Re
_chemical_formula_sum 'Zr1 Al2 Re1'
_cell_length_a 4.5241
_cell_length_b 4.5241
_cell_length_c 4.5241
_cell_angle_alpha 60.00
_cell_angle_beta 60.00
_cell_angle_gamma 60.00
_space_group_name_H-M_alt 'P 1'
_space_group_IT_number 1
_space_group_name_Hall 'P 1'
loop_
_atom_site_label
_atom_site_fract_x
_atom_site_fract_y
_atom_site_fract_z
_atom_site_occupancy
Zr1 0.0000 0.0000 0.0000 1
Al1 0.2500 0.2500 0.2500 1
Al2 0.7500 0.7500 0.7500 1
Re1 0.5000 0.5000 0.5000 1
```

---

x) VASP calculation (PBE) on a relaxed ZrAl2Re crystal.

Values from the calculation:
Space group: No. 10

The structure in CIF format:
```
data_ZrAl2Re
_chemical_formula_sum 'Zr1 Al2 Re1'
_cell_length_a 2.8314
_cell_length_b 4.3307
_cell_length_c 5.6402
_cell_angle_alpha 90.00
_cell_angle_beta 103.91
_cell_angle_gamma 90.00
_space_group_name_H-M_alt 'P 1'
_space_group_IT_number 1
_space_group_name_Hall 'P 1'
loop_
_atom_site_label
_atom_site_fract_x
_atom_site_fract_y
_atom_site_fract_z
_atom_site_occupancy
Zr1 0.0000 0.0000 0.0000 1
Al1 0.3148 0.5000 0.7285 1
Al2 0.6852 0.5000 0.2715 1
Re1 0.5000 0.0000 0.5000 1
```

---

y) VASP calculation (PBE) on a relaxed ZrAl2Re crystal.

Values from the calculation:
Space group: No. 122

The structure in CIF format:
```
data_ZrAl2Re
_chemical_formula_sum 'Zr2 Al4 Re2'
_cell_length_a 10.0677
_cell_length_b 10.0677
_cell_length_c 10.0677
_cell_angle_alpha 157.61
_cell_angle_beta 157.61
_cell_angle_gamma 31.87
_space_group_name_H-M_alt 'P 1'
_space_group_IT_number 1
_space_group_name_Hall 'P 1'
loop_
_atom_site_label
_atom_site_fract_x
_atom_site_fract_y
_atom_site_fract_z
_atom_site_occupancy
Zr1 0.0000 0.0000 0.0000 1
Zr2 0.7500 0.2500 0.5000 1
Al1 0.1428 0.6250 0.0178 1
Al2 0.3750 0.3928 0.5178 1
Al3 0.6072 0.1250 0.9822 1
Al4 0.8750 0.8572 0.4822 1
Re1 0.2500 0.7500 0.5000 1
Re2 0.5000 0.5000 0.0000 1
```

---

Stability summary: most stable x), least stable y).

---

w) VASP calculation (PBE) on a relaxed ZrAlRe3 crystal.

Values from the calculation:
Space group: No. 221

The structure in CIF format:
```
data_ZrAlRe3
_chemical_formula_sum 'Zr1 Al1 Re3'
_cell_length_a 4.4927
_cell_length_b 4.4927
_cell_length_c 4.4927
_cell_angle_alpha 90.00
_cell_angle_beta 90.00
_cell_angle_gamma 90.00
_space_group_name_H-M_alt 'P 1'
_space_group_IT_number 1
_space_group_name_Hall 'P 1'
loop_
_atom_site_label
_atom_site_fract_x
_atom_site_fract_y
_atom_site_fract_z
_atom_site_occupancy
Zr1 0.0000 0.0000 0.0000 1
Al1 0.5000 0.5000 0.5000 1
Re1 0.0000 0.5000 0.5000 1
Re2 0.5000 0.0000 0.5000 1
Re3 0.5000 0.5000 0.0000 1
```

---

x) VASP calculation (PBE) on a relaxed ZrAlRe3 crystal.

Values from the calculation:
Space group: No. 221

The structure in CIF format:
```
data_ZrAlRe3
_chemical_formula_sum 'Zr1 Al1 Re3'
_cell_length_a 4.7844
_cell_length_b 4.7844
_cell_length_c 4.7844
_cell_angle_alpha 90.00
_cell_angle_beta 90.00
_cell_angle_gamma 90.00
_space_group_name_H-M_alt 'P 1'
_space_group_IT_number 1
_space_group_name_Hall 'P 1'
loop_
_atom_site_label
_atom_site_fract_x
_atom_site_fract_y
_atom_site_fract_z
_atom_site_occupancy
Zr1 0.0000 0.0000 0.0000 1
Al1 0.5000 0.5000 0.5000 1
Re1 0.0000 0.0000 0.5000 1
Re2 0.0000 0.5000 0.0000 1
Re3 0.5000 0.0000 0.0000 1
```

---

Stability summary: most stable w), least stable x).

---

w) VASP calculation (PBE) on a relaxed Al4Rh3 crystal.

Values from the calculation:
Space group: No. 191

The structure in CIF format:
```
data_Al4Rh3
_chemical_formula_sum 'Al4 Rh3'
_cell_length_a 5.2342
_cell_length_b 5.2342
_cell_length_c 4.5741
_cell_angle_alpha 90.00
_cell_angle_beta 90.00
_cell_angle_gamma 120.00
_space_group_name_H-M_alt 'P 1'
_space_group_IT_number 1
_space_group_name_Hall 'P 1'
loop_
_atom_site_label
_atom_site_fract_x
_atom_site_fract_y
_atom_site_fract_z
_atom_site_occupancy
Al1 0.0000 0.0000 0.2478 1
Al2 0.0000 0.0000 0.7522 1
Al3 0.3333 0.6667 0.5000 1
Al4 0.6667 0.3333 0.5000 1
Rh1 0.0000 0.5000 0.0000 1
Rh2 0.5000 0.0000 0.0000 1
Rh3 0.5000 0.5000 0.0000 1
```

---

x) VASP calculation (PBE) on a relaxed Al4Rh3 crystal.

Values from the calculation:
Space group: No. 44

The structure in CIF format:
```
data_Al4Rh3
_chemical_formula_sum 'Al4 Rh3'
_cell_length_a 9.8912
_cell_length_b 9.8912
_cell_length_c 9.8912
_cell_angle_alpha 162.98
_cell_angle_beta 158.87
_cell_angle_gamma 27.25
_space_group_name_H-M_alt 'P 1'
_space_group_IT_number 1
_space_group_name_Hall 'P 1'
loop_
_atom_site_label
_atom_site_fract_x
_atom_site_fract_y
_atom_site_fract_z
_atom_site_occupancy
Al1 0.0000 0.0000 0.0000 1
Al2 0.1449 0.1449 0.0000 1
Al3 0.4221 0.4221 0.0000 1
Al4 0.8401 0.8401 0.0000 1
Rh1 0.2935 0.2935 0.0000 1
Rh2 0.5551 0.5551 0.0000 1
Rh3 0.7009 0.7009 0.0000 1
```

---

Stability summary: most stable x), least stable w).

---

w) VASP calculation (PBE) on a relaxed Al7Rh5 crystal.

Values from the calculation:
Space group: No. 2

The structure in CIF format:
```
data_Al7Rh5
_chemical_formula_sum 'Al7 Rh5'
_cell_length_a 4.7780
_cell_length_b 5.5371
_cell_length_c 7.2328
_cell_angle_alpha 75.42
_cell_angle_beta 77.36
_cell_angle_gamma 74.12
_space_group_name_H-M_alt 'P 1'
_space_group_IT_number 1
_space_group_name_Hall 'P 1'
loop_
_atom_site_label
_atom_site_fract_x
_atom_site_fract_y
_atom_site_fract_z
_atom_site_occupancy
Al1 0.0000 0.0000 0.0000 1
Al2 0.0370 0.7966 0.6469 1
Al3 0.4555 0.3695 0.1873 1
Al4 0.4896 0.1628 0.8093 1
Al5 0.5104 0.8372 0.1907 1
Al6 0.5445 0.6305 0.8127 1
Al7 0.9630 0.2034 0.3531 1
Rh1 0.0000 0.5000 0.0000 1
Rh2 0.0083 0.7136 0.3172 1
Rh3 0.5000 0.0000 0.5000 1
Rh4 0.5000 0.5000 0.5000 1
Rh5 0.9917 0.2864 0.6828 1
```

---

x) VASP calculation (PBE) on a relaxed Al7Rh5 crystal.

Values from the calculation:
Space group: No. 3

The structure in CIF format:
```
data_Al7Rh5
_chemical_formula_sum 'Al7 Rh5'
_cell_length_a 4.7651
_cell_length_b 8.2686
_cell_length_c 4.7690
_cell_angle_alpha 90.00
_cell_angle_beta 114.00
_cell_angle_gamma 90.00
_space_group_name_H-M_alt 'P 1'
_space_group_IT_number 1
_space_group_name_Hall 'P 1'
loop_
_atom_site_label
_atom_site_fract_x
_atom_site_fract_y
_atom_site_fract_z
_atom_site_occupancy
Al1 0.0000 0.0000 0.0000 1
Al2 0.0000 0.1247 0.5000 1
Al3 0.0000 0.3355 0.0000 1
Al4 0.0000 0.6648 0.0000 1
Al5 0.5000 0.3200 0.5000 1
Al6 0.5000 0.6789 0.5000 1
Al7 0.5000 0.8744 0.0000 1
Rh1 0.0000 0.4355 0.5000 1
Rh2 0.0000 0.7912 0.5000 1
Rh3 0.5000 0.2079 0.0000 1
Rh4 0.5000 0.5637 0.0000 1
Rh5 0.5000 0.9994 0.5000 1
```

---

y) VASP calculation (PBE) on a relaxed Al7Rh5 crystal.

Values from the calculation:
Space group: No. 1

The structure in CIF format:
```
data_Al7Rh5
_chemical_formula_sum 'Al7 Rh5'
_cell_length_a 3.9509
_cell_length_b 5.7788
_cell_length_c 8.5590
_cell_angle_alpha 73.55
_cell_angle_beta 76.75
_cell_angle_gamma 70.12
_space_group_name_H-M_alt 'P 1'
_space_group_IT_number 1
_space_group_name_Hall 'P 1'
loop_
_atom_site_label
_atom_site_fract_x
_atom_site_fract_y
_atom_site_fract_z
_atom_site_occupancy
Al1 0.0000 0.0000 0.0000 1
Al2 0.0501 0.6153 0.2823 1
Al3 0.1771 0.1450 0.4991 1
Al4 0.3350 0.3457 0.9847 1
Al5 0.5859 0.0977 0.7309 1
Al6 0.6736 0.6707 0.9826 1
Al7 0.7534 0.2403 0.2517 1
Rh1 0.2239 0.7812 0.7703 1
Rh2 0.4245 0.9346 0.2146 1
Rh3 0.5281 0.4643 0.4788 1
Rh4 0.8140 0.8704 0.4981 1
Rh5 0.9325 0.3739 0.7633 1
```

---

Stability summary: most stable x), least stable w).